Nd3Te4: single point on PBEsol structure, meta-GGA SCAN.

abc: 8.1226 8.1226 8.1226
angles: 109.47 109.47 109.47
Fractional positions:
Nd  0.1250  0.8750  0.2500
Nd  0.2500  0.1250  0.8750
Nd  0.3750  0.6250  0.7500
Nd  0.6250  0.7500  0.3750
Nd  0.7500  0.3750  0.6250
Nd  0.8750  0.2500  0.1250
Te  0.0000  0.1529  0.5000
Te  0.0000  0.6529  0.5000
Te  0.1529  0.5000  0.0000
Te  0.3471  0.3471  0.3471
Te  0.5000  0.0000  0.1529
Te  0.5000  0.0000  0.6529
Te  0.6529  0.5000  0.0000
Te  0.8471  0.8471  0.8471

Formation energy without anion corrections, eV/atom: -1.584
Magnetization, μB per cell: 0.00
Volume, Å³ per atom: 29.47
VASP energy, eV/atom: -41.548
Crystal system: cubic